1.
Density functional theory data (PBE-GGA) for a relaxed NbPd2Br crystal.

Cell: 7.386 7.386 5.445 Å, 90.00 90.00 90.00°
Fractional coordinates of all 16 atoms:
Nb  0.000  0.000  0.000
Nb  0.000  0.500  0.250
Nb  0.500  0.000  0.750
Nb  0.500  0.500  0.500
Pd  0.244  0.750  0.125
Pd  0.250  0.244  0.875
Pd  0.250  0.256  0.375
Pd  0.256  0.750  0.625
Pd  0.744  0.250  0.625
Pd  0.750  0.744  0.375
Pd  0.750  0.756  0.875
Pd  0.756  0.250  0.125
Br  0.000  0.000  0.500
Br  0.000  0.500  0.750
Br  0.500  0.000  0.250
Br  0.500  0.500  0.000

Output
The uncorrected formation energy comes out at 225 meV/atom. The space-group type is I-42d. Its offset from the most stable computed form is 0 meV/atom. The total energy comes out at -84.92 eV per cell. Its calculated density is 8.63 g cm⁻³. For the total magnetization, the calculation gives 0.00 μB per cell.

---

2.
Density functional theory data (PBE-GGA) for a relaxed Nb2PdBr crystal.

Cell: 6.528 6.528 6.528 Å, 90.00 90.00 90.00°
Fractional coordinates of all 16 atoms:
Nb  0.250  0.250  0.250
Nb  0.250  0.250  0.750
Nb  0.250  0.750  0.250
Nb  0.250  0.750  0.750
Nb  0.750  0.250  0.250
Nb  0.750  0.250  0.750
Nb  0.750  0.750  0.250
Nb  0.750  0.750  0.750
Pd  0.000  0.000  0.000
Pd  0.000  0.500  0.500
Pd  0.500  0.000  0.500
Pd  0.500  0.500  0.000
Br  0.000  0.000  0.500
Br  0.000  0.500  0.000
Br  0.500  0.000  0.000
Br  0.500  0.500  0.500

Output
The uncorrected formation energy comes out at 275 meV/atom. The space-group type is Fm-3m. Its offset from the most stable computed form is 0 meV/atom. The total energy comes out at -103.61 eV per cell. Its calculated density is 8.88 g cm⁻³. For the total magnetization, the calculation gives 0.00 μB per cell.

---

3.
Density functional theory data (PBE-GGA) for a relaxed Nb2PdBr crystal.

Cell: 5.848 5.848 11.644 Å, 90.00 90.00 90.00°
Fractional coordinates of all 16 atoms:
Nb  0.234  0.250  0.125
Nb  0.250  0.734  0.375
Nb  0.250  0.766  0.875
Nb  0.266  0.250  0.625
Nb  0.734  0.750  0.625
Nb  0.750  0.234  0.875
Nb  0.750  0.266  0.375
Nb  0.766  0.750  0.125
Pd  0.000  0.000  0.000
Pd  0.000  0.500  0.250
Pd  0.500  0.000  0.750
Pd  0.500  0.500  0.500
Br  0.000  0.000  0.500
Br  0.000  0.500  0.750
Br  0.500  0.000  0.250
Br  0.500  0.500  0.000

Output
The uncorrected formation energy comes out at 854 meV/atom. The space-group type is I-42d. Its offset from the most stable computed form is 579 meV/atom. The total energy comes out at -94.35 eV per cell. Its calculated density is 6.21 g cm⁻³. For the total magnetization, the calculation gives 0.00 μB per cell.

---

4.
Density functional theory data (PBE-GGA) for a relaxed Nb3PdBr crystal.

Cell: 4.937 4.937 4.937 Å, 90.00 90.00 90.00°
Fractional coordinates of all 5 atoms:
Nb  0.000  0.000  0.500
Nb  0.000  0.500  0.000
Nb  0.500  0.000  0.000
Pd  0.000  0.000  0.000
Br  0.500  0.500  0.500

Output
The uncorrected formation energy comes out at 1348 meV/atom. The space-group type is Pm-3m. Its offset from the most stable computed form is 170 meV/atom. The total energy comes out at -30.34 eV per cell. Its calculated density is 6.42 g cm⁻³. For the total magnetization, the calculation gives 0.00 μB per cell.

---

5.
Density functional theory data (PBE-GGA) for a relaxed NbPd2Br crystal.

Cell: 6.604 6.604 6.604 Å, 90.00 90.00 90.00°
Fractional coordinates of all 16 atoms:
Nb  0.000  0.000  0.000
Nb  0.000  0.500  0.500
Nb  0.500  0.000  0.500
Nb  0.500  0.500  0.000
Pd  0.250  0.250  0.250
Pd  0.250  0.250  0.750
Pd  0.250  0.750  0.250
Pd  0.250  0.750  0.750
Pd  0.750  0.250  0.250
Pd  0.750  0.250  0.750
Pd  0.750  0.750  0.250
Pd  0.750  0.750  0.750
Br  0.000  0.000  0.500
Br  0.000  0.500  0.000
Br  0.500  0.000  0.000
Br  0.500  0.500  0.500

Output
The uncorrected formation energy comes out at 416 meV/atom. The space-group type is Fm-3m. Its offset from the most stable computed form is 192 meV/atom. The total energy comes out at -81.85 eV per cell. Its calculated density is 8.89 g cm⁻³. For the total magnetization, the calculation gives 0.00 μB per cell.

---

6.
Density functional theory data (PBE-GGA) for a relaxed Nb3PdBr crystal.

Cell: 4.716 4.716 4.716 Å, 90.00 90.00 90.00°
Fractional coordinates of all 5 atoms:
Nb  0.000  0.000  0.500
Nb  0.000  0.500  0.000
Nb  0.500  0.000  0.000
Pd  0.500  0.500  0.500
Br  0.000  0.000  0.000

Output
The uncorrected formation energy comes out at 1178 meV/atom. The space-group type is Pm-3m. Its offset from the most stable computed form is 0 meV/atom. The total energy comes out at -31.18 eV per cell. Its calculated density is 7.36 g cm⁻³. For the total magnetization, the calculation gives 0.00 μB per cell.